No. 1
{
  "formula": "Pu2SeF3",
  "functional": "PBE",
  "state": "relaxed",
  "lattice": [[7.5808, -1.9904, 0.0000], [7.5808, 1.9904, 0.0000], [-3.4057, 0.0000, 7.1278]],
  "species": ["Pu", "Pu", "Pu", "Pu", "Se", "Se", "F", "F", "F", "F", "F", "F"],
  "frac_coords": [[0.0219, 0.0219, 0.2207], [0.2943, 0.2943, 0.2932], [0.7057, 0.7057, 0.7068], [0.9781, 0.9781, 0.7793], [0.3648, 0.3648, 0.9515], [0.6352, 0.6352, 0.0485], [0.1058, 0.1058, 0.6786], [0.1895, 0.1895, 0.4536], [0.4422, 0.4422, 0.5964], [0.5578, 0.5578, 0.4036], [0.8105, 0.8105, 0.5464], [0.8942, 0.8942, 0.3214]],
  "spacegroup": "No. 12",
  "total_magnetization_mub_per_cell": 0.15
}

No. 2
{
  "formula": "PuSiF",
  "functional": "PBE",
  "state": "relaxed",
  "lattice": [[5.3333, 0.0000, 0.0000], [0.0000, 3.7647, 0.0000], [0.0000, 0.0000, 10.8137]],
  "species": ["Pu", "Pu", "Pu", "Pu", "Si", "Si", "Si", "Si", "F", "F", "F", "F"],
  "frac_coords": [[0.1326, 0.2500, 0.1616], [0.3674, 0.7500, 0.6616], [0.6326, 0.2500, 0.3384], [0.8674, 0.7500, 0.8384], [0.1248, 0.2500, 0.4677], [0.3752, 0.7500, 0.9677], [0.6248, 0.2500, 0.0323], [0.8752, 0.7500, 0.5323], [0.1150, 0.2500, 0.7652], [0.3850, 0.7500, 0.2652], [0.6150, 0.2500, 0.7348], [0.8850, 0.7500, 0.2348]],
  "spacegroup": "No. 62",
  "total_magnetization_mub_per_cell": 21.03
}

No. 3
{
  "formula": "Sm2PuF8",
  "functional": "PBE",
  "state": "relaxed",
  "lattice": [[-1.9104, 3.2963, 5.6824], [1.9104, -3.2963, 5.6824], [1.9104, 3.2963, -5.6824]],
  "species": ["Sm", "Sm", "Pu", "F", "F", "F", "F", "F", "F", "F", "F"],
  "frac_coords": [[0.1823, 0.1823, 0.0000], [0.8177, 0.8177, 0.0000], [0.5000, 0.5000, 0.0000], [0.0524, 0.3367, 0.7157], [0.1867, 0.0000, 0.1867], [0.3459, 0.8459, 0.5000], [0.3790, 0.6633, 0.7157], [0.6210, 0.3367, 0.2843], [0.6541, 0.1541, 0.5000], [0.8133, 0.0000, 0.8133], [0.9476, 0.6633, 0.2843]],
  "spacegroup": "No. 71",
  "total_magnetization_mub_per_cell": 6.00
}

No. 4
{
  "formula": "SmPu2F8",
  "functional": "PBE",
  "state": "relaxed",
  "lattice": [[-1.9477, 3.2835, 5.7505], [1.9477, -3.2835, 5.7505], [1.9477, 3.2835, -5.7505]],
  "species": ["Sm", "Pu", "Pu", "F", "F", "F", "F", "F", "F", "F", "F"],
  "frac_coords": [[0.0000, 0.0000, 0.0000], [0.3229, 0.3229, 0.0000], [0.6771, 0.6771, 0.0000], [0.1101, 0.8435, 0.2666], [0.1324, 0.6324, 0.5000], [0.3058, 0.5000, 0.8058], [0.4232, 0.1565, 0.2666], [0.5768, 0.8435, 0.7334], [0.6942, 0.5000, 0.1942], [0.8676, 0.3676, 0.5000], [0.8899, 0.1565, 0.7334]],
  "spacegroup": "No. 71",
  "total_magnetization_mub_per_cell": 11.00
}

No. 5
{
  "formula": "SmPuF",
  "functional": "PBE",
  "state": "relaxed",
  "lattice": [[2.4304, 1.4032, 9.6868], [-2.4304, 1.4032, 9.6868], [0.0000, -2.8064, 9.6868]],
  "species": ["Sm", "Sm", "Sm", "Pu", "Pu", "Pu", "F", "F", "F"],
  "frac_coords": [[0.0000, 0.0000, 0.0000], [0.1432, 0.1432, 0.1432], [0.4038, 0.4038, 0.4038], [0.3054, 0.5232, 0.9017], [0.5232, 0.9017, 0.3054], [0.9017, 0.3054, 0.5232], [0.4022, 0.9052, 0.9109], [0.9052, 0.9109, 0.4022], [0.9109, 0.4022, 0.9052]],
  "spacegroup": "No. 146",
  "total_magnetization_mub_per_cell": 8.38
}

No. 6
{
  "formula": "Sm2PuF",
  "functional": "PBE",
  "state": "relaxed",
  "lattice": [[1.6877, 0.9744, 10.2771], [-1.6877, 0.9744, 10.2771], [0.0000, -1.9488, 10.2771]],
  "species": ["Sm", "Sm", "Pu", "F"],
  "frac_coords": [[0.1066, 0.1066, 0.1066], [0.8934, 0.8934, 0.8934], [0.0000, 0.0000, 0.0000], [0.5000, 0.5000, 0.5000]],
  "spacegroup": "No. 166",
  "total_magnetization_mub_per_cell": 5.98
}

Per-record E_form (uncorrected), eV per atom: -2.8261, -1.5699, -3.7183, -3.5960, -1.1498, -0.8047
Per-record volume, Å³/cell: 215, 217, 143, 147, 198, 101
Per-record E, eV for the cell shown: -109.44, -105.34, -79.64, -87.91, -73.12, -28.86